Arrangement P

{
  "formula": "K2TlRe",
  "functional": "PBE",
  "state": "relaxed",
  "lattice_angstrom": [[2.9502, 0.0000, 0.0000], [0.0000, 2.9502, 0.0000], [0.0000, 0.0000, 12.0274]],
  "species": ["K", "K", "Tl", "Re"],
  "fractional_positions": [[0.0000, 0.0000, 0.2289], [0.0000, 0.0000, 0.7711], [0.5000, 0.5000, 0.5000], [0.5000, 0.5000, 0.0000]],
  "volume_a3_per_atom": 26.2,
  "dos_at_fermi_per_ev_fu": 3.3,
  "magmom_total_mub_per_fu": 0.00
}

---

Arrangement Q

{
  "formula": "K2TlRe",
  "functional": "PBE",
  "state": "relaxed",
  "lattice_angstrom": [[5.9203, 0.0000, 0.0000], [0.0000, 11.6806, 0.0000], [0.0000, 0.0000, 2.9696]],
  "species": ["K", "K", "K", "K", "Tl", "Tl", "Re", "Re"],
  "fractional_positions": [[0.2500, 0.2500, 0.0000], [0.2500, 0.7500, 0.0000], [0.7500, 0.2500, 0.0000], [0.7500, 0.7500, 0.0000], [0.0000, 0.0000, 0.5000], [0.5000, 0.5000, 0.5000], [0.0000, 0.5000, 0.5000], [0.5000, 0.0000, 0.5000]],
  "volume_a3_per_atom": 25.7,
  "dos_at_fermi_per_ev_fu": 3.7,
  "magmom_total_mub_per_fu": 0.00
}

---

Stability summary - winner: arrangement P; margin: 0.109 eV/atom.

---

Arrangement P

{
  "formula": "KTl2Re",
  "functional": "PBE",
  "state": "relaxed",
  "lattice_angstrom": [[3.8444, 0.0000, 0.0000], [0.0000, 3.8444, 0.0000], [0.0000, 0.0000, 8.3389]],
  "species": ["K", "Tl", "Tl", "Re"],
  "fractional_positions": [[0.0000, 0.0000, 0.0000], [0.0000, 0.0000, 0.3945], [0.5000, 0.5000, 0.6764], [0.5000, 0.5000, 0.3528]],
  "volume_a3_per_atom": 30.8,
  "dos_at_fermi_per_ev_fu": 2.5,
  "magmom_total_mub_per_fu": 0.00
}

---

Arrangement Q

{
  "formula": "KTl2Re",
  "functional": "PBE",
  "state": "relaxed",
  "lattice_angstrom": [[7.2544, 0.0000, 0.0000], [0.0000, 7.2544, 0.0000], [0.0000, 0.0000, 7.2544]],
  "species": ["K", "K", "K", "K", "Tl", "Tl", "Tl", "Tl", "Tl", "Tl", "Tl", "Tl", "Re", "Re", "Re", "Re"],
  "fractional_positions": [[0.0000, 0.0000, 0.0000], [0.0000, 0.5000, 0.5000], [0.5000, 0.0000, 0.5000], [0.5000, 0.5000, 0.0000], [0.2500, 0.2500, 0.2500], [0.2500, 0.2500, 0.7500], [0.2500, 0.7500, 0.2500], [0.2500, 0.7500, 0.7500], [0.7500, 0.2500, 0.2500], [0.7500, 0.2500, 0.7500], [0.7500, 0.7500, 0.2500], [0.7500, 0.7500, 0.7500], [0.0000, 0.0000, 0.5000], [0.0000, 0.5000, 0.0000], [0.5000, 0.0000, 0.0000], [0.5000, 0.5000, 0.5000]],
  "volume_a3_per_atom": 23.9,
  "dos_at_fermi_per_ev_fu": 7.0,
  "magmom_total_mub_per_fu": 0.00
}

---

Arrangement R

{
  "formula": "KTl2Re",
  "functional": "PBE",
  "state": "relaxed",
  "lattice_angstrom": [[9.2422, 0.0000, 0.0000], [0.0000, 3.0107, 0.0000], [-0.7165, 0.0000, 7.5396]],
  "species": ["K", "K", "Tl", "Tl", "Tl", "Tl", "Re", "Re"],
  "fractional_positions": [[0.0000, 0.0000, 0.0000], [0.5000, 0.5000, 0.0000], [0.2381, 0.0000, 0.6895], [0.2619, 0.5000, 0.3105], [0.7381, 0.5000, 0.6895], [0.7619, 0.0000, 0.3105], [0.0000, 0.5000, 0.5000], [0.5000, 0.0000, 0.5000]],
  "volume_a3_per_atom": 26.2,
  "dos_at_fermi_per_ev_fu": 3.9,
  "magmom_total_mub_per_fu": 0.00
}

---

Arrangement S

{
  "formula": "KTl2Re",
  "functional": "PBE",
  "state": "relaxed",
  "lattice_angstrom": [[6.4341, 0.0000, 0.0000], [0.0000, 6.4341, 0.0000], [0.0000, 0.0000, 16.5692]],
  "species": ["K", "K", "K", "K", "Tl", "Tl", "Tl", "Tl", "Tl", "Tl", "Tl", "Tl", "Re", "Re", "Re", "Re"],
  "fractional_positions": [[0.0000, 0.0000, 0.0000], [0.0000, 0.5000, 0.2500], [0.5000, 0.0000, 0.7500], [0.5000, 0.5000, 0.5000], [0.0500, 0.2500, 0.6250], [0.2500, 0.5500, 0.8750], [0.2500, 0.9500, 0.3750], [0.4500, 0.2500, 0.1250], [0.5500, 0.7500, 0.1250], [0.7500, 0.0500, 0.3750], [0.7500, 0.4500, 0.8750], [0.9500, 0.7500, 0.6250], [0.0000, 0.0000, 0.5000], [0.0000, 0.5000, 0.7500], [0.5000, 0.0000, 0.2500], [0.5000, 0.5000, 0.0000]],
  "volume_a3_per_atom": 42.9,
  "dos_at_fermi_per_ev_fu": 2.6,
  "magmom_total_mub_per_fu": 1.20
}

---

Stability summary - winner: arrangement R; margin: 0.078 eV/atom.

---

Arrangement P

{
  "formula": "KTl2Re",
  "functional": "PBE",
  "state": "relaxed",
  "lattice_angstrom": [[6.9584, 0.0000, 0.0000], [0.0000, 9.6737, 0.0000], [-0.9422, 0.0000, 2.8419]],
  "species": ["K", "K", "Tl", "Tl", "Tl", "Tl", "Re", "Re"],
  "fractional_positions": [[0.0000, 0.0000, 0.0000], [0.5000, 0.5000, 0.0000], [0.2500, 0.2500, 0.5000], [0.2500, 0.7500, 0.5000], [0.7500, 0.2500, 0.5000], [0.7500, 0.7500, 0.5000], [0.0000, 0.5000, 0.0000], [0.5000, 0.0000, 0.0000]],
  "volume_a3_per_atom": 23.9,
  "dos_at_fermi_per_ev_fu": 3.4,
  "magmom_total_mub_per_fu": 0.00
}

---

Arrangement Q

{
  "formula": "KTl2Re",
  "functional": "PBE",
  "state": "relaxed",
  "lattice_angstrom": [[3.2561, 0.0000, 0.0000], [-1.6281, 2.8199, 0.0000], [0.0000, 0.0000, 31.4256]],
  "species": ["K", "K", "K", "Tl", "Tl", "Tl", "Tl", "Tl", "Tl", "Re", "Re", "Re"],
  "fractional_positions": [[0.0000, 0.0000, 0.0000], [0.3333, 0.6667, 0.6667], [0.6667, 0.3333, 0.3333], [0.0000, 0.0000, 0.2385], [0.0000, 0.0000, 0.7615], [0.3333, 0.6667, 0.4282], [0.3333, 0.6667, 0.9051], [0.6667, 0.3333, 0.0949], [0.6667, 0.3333, 0.5718], [0.0000, 0.0000, 0.5000], [0.3333, 0.6667, 0.1667], [0.6667, 0.3333, 0.8333]],
  "volume_a3_per_atom": 24.0,
  "dos_at_fermi_per_ev_fu": 1.9,
  "magmom_total_mub_per_fu": 0.00
}

---

Stability summary - winner: arrangement Q; margin: 0.296 eV/atom.

---

Arrangement P

{
  "formula": "KTl2Re",
  "functional": "PBE",
  "state": "relaxed",
  "lattice_angstrom": [[3.0471, 0.0000, 0.0000], [0.0000, 3.0471, 0.0000], [0.0000, 0.0000, 10.8619]],
  "species": ["K", "Tl", "Tl", "Re"],
  "fractional_positions": [[0.0000, 0.0000, 0.0000], [0.0000, 0.0000, 0.4446], [0.5000, 0.5000, 0.7094], [0.5000, 0.5000, 0.2456]],
  "volume_a3_per_atom": 25.2,
  "dos_at_fermi_per_ev_fu": 3.4,
  "magmom_total_mub_per_fu": 0.52
}

---

Arrangement Q

{
  "formula": "KTl2Re",
  "functional": "PBE",
  "state": "relaxed",
  "lattice_angstrom": [[4.9241, 0.0000, 0.0000], [0.0000, 4.9241, 0.0000], [0.0000, 0.0000, 4.2504]],
  "species": ["K", "Tl", "Tl", "Re"],
  "fractional_positions": [[0.0000, 0.0000, 0.0000], [0.0000, 0.5000, 0.5000], [0.5000, 0.0000, 0.5000], [0.5000, 0.5000, 0.0000]],
  "volume_a3_per_atom": 25.8,
  "dos_at_fermi_per_ev_fu": 2.8,
  "magmom_total_mub_per_fu": 2.52
}

---

Arrangement R

{
  "formula": "KTl2Re",
  "functional": "PBE",
  "state": "relaxed",
  "lattice_angstrom": [[7.8578, 0.0000, 0.0000], [0.0000, 7.9795, 0.0000], [0.0000, 0.0000, 3.0387]],
  "species": ["K", "K", "Tl", "Tl", "Tl", "Tl", "Re", "Re"],
  "fractional_positions": [[0.0000, 0.0000, 0.0000], [0.5000, 0.5000, 0.0000], [0.2500, 0.2500, 0.5000], [0.2500, 0.7500, 0.5000], [0.7500, 0.2500, 0.5000], [0.7500, 0.7500, 0.5000], [0.0000, 0.5000, 0.0000], [0.5000, 0.0000, 0.0000]],
  "volume_a3_per_atom": 23.8,
  "dos_at_fermi_per_ev_fu": 2.2,
  "magmom_total_mub_per_fu": 0.00
}

---

Arrangement S

{
  "formula": "KTl2Re",
  "functional": "PBE",
  "state": "relaxed",
  "lattice_angstrom": [[4.4048, 0.0000, 0.0000], [0.0000, 4.4048, 0.0000], [0.0000, 0.0000, 10.4085]],
  "species": ["K", "K", "Tl", "Tl", "Tl", "Tl", "Re", "Re"],
  "fractional_positions": [[0.0000, 0.0000, 0.0000], [0.5000, 0.5000, 0.5000], [0.0000, 0.0000, 0.5000], [0.0000, 0.5000, 0.2500], [0.5000, 0.0000, 0.7500], [0.5000, 0.5000, 0.0000], [0.0000, 0.5000, 0.7500], [0.5000, 0.0000, 0.2500]],
  "volume_a3_per_atom": 25.2,
  "dos_at_fermi_per_ev_fu": 3.1,
  "magmom_total_mub_per_fu": 1.84
}

---

Stability summary - winner: arrangement P; margin: 0.106 eV/atom.

---

Arrangement P

{
  "formula": "KTl2Re",
  "functional": "PBE",
  "state": "relaxed",
  "lattice_angstrom": [[3.6417, 0.0000, 0.0000], [0.0000, 4.9016, 0.0000], [0.0000, 0.0000, 11.0436]],
  "species": ["K", "K", "Tl", "Tl", "Tl", "Tl", "Re", "Re"],
  "fractional_positions": [[0.0000, 0.0000, 0.0000], [0.5000, 0.5000, 0.0000], [0.0000, 0.0000, 0.4535], [0.0000, 0.5000, 0.7145], [0.5000, 0.0000, 0.7145], [0.5000, 0.5000, 0.4535], [0.0000, 0.5000, 0.2462], [0.5000, 0.0000, 0.2462]],
  "volume_a3_per_atom": 24.6,
  "dos_at_fermi_per_ev_fu": 2.7,
  "magmom_total_mub_per_fu": 0.00
}

---

Arrangement Q

{
  "formula": "KTl2Re",
  "functional": "PBE",
  "state": "relaxed",
  "lattice_angstrom": [[3.0017, 0.0000, 0.0000], [0.0000, 4.0069, 0.0000], [0.0000, 0.0000, 8.5020]],
  "species": ["K", "Tl", "Tl", "Re"],
  "fractional_positions": [[0.0000, 0.0000, 0.0000], [0.5000, 0.5000, 0.3022], [0.5000, 0.5000, 0.6978], [0.0000, 0.0000, 0.5000]],
  "volume_a3_per_atom": 25.6,
  "dos_at_fermi_per_ev_fu": 2.9,
  "magmom_total_mub_per_fu": 1.21
}

---

Stability summary - winner: arrangement Q; margin: 0.212 eV/atom.

---

Arrangement P

{
  "formula": "KTl2Re",
  "functional": "PBE",
  "state": "relaxed",
  "lattice_angstrom": [[7.6275, 0.0000, 0.0000], [0.0000, 7.6275, 0.0000], [0.0000, 0.0000, 7.6275]],
  "species": ["K", "K", "K", "K", "Tl", "Tl", "Tl", "Tl", "Tl", "Tl", "Tl", "Tl", "Re", "Re", "Re", "Re"],
  "fractional_positions": [[0.0000, 0.0000, 0.0000], [0.0000, 0.5000, 0.5000], [0.5000, 0.0000, 0.5000], [0.5000, 0.5000, 0.0000], [0.0000, 0.0000, 0.5000], [0.0000, 0.5000, 0.0000], [0.2500, 0.2500, 0.7500], [0.2500, 0.7500, 0.2500], [0.5000, 0.0000, 0.0000], [0.5000, 0.5000, 0.5000], [0.7500, 0.2500, 0.2500], [0.7500, 0.7500, 0.7500], [0.2500, 0.2500, 0.2500], [0.2500, 0.7500, 0.7500], [0.7500, 0.2500, 0.7500], [0.7500, 0.7500, 0.2500]],
  "volume_a3_per_atom": 27.7,
  "dos_at_fermi_per_ev_fu": 4.0,
  "magmom_total_mub_per_fu": 3.30
}

---

Arrangement Q

{
  "formula": "KTl2Re",
  "functional": "PBE",
  "state": "relaxed",
  "lattice_angstrom": [[3.1200, 0.0000, 0.0000], [0.0000, 3.1200, 0.0000], [0.0000, 0.0000, 9.8613]],
  "species": ["K", "Tl", "Tl", "Re"],
  "fractional_positions": [[0.0000, 0.0000, 0.0000], [0.5000, 0.5000, 0.2866], [0.5000, 0.5000, 0.7134], [0.0000, 0.0000, 0.5000]],
  "volume_a3_per_atom": 24.0,
  "dos_at_fermi_per_ev_fu": 1.8,
  "magmom_total_mub_per_fu": 0.69
}

---

Arrangement R

{
  "formula": "KTl2Re",
  "functional": "PBE",
  "state": "relaxed",
  "lattice_angstrom": [[3.0262, 0.0000, 0.0000], [0.0000, 4.7366, 0.0000], [0.0000, 0.0000, 16.2286]],
  "species": ["K", "K", "Tl", "Tl", "Tl", "Tl", "Re", "Re"],
  "fractional_positions": [[0.0000, 0.0000, 0.0000], [0.5000, 0.5000, 0.5000], [0.0000, 0.0000, 0.6505], [0.0000, 0.5000, 0.8179], [0.5000, 0.0000, 0.3179], [0.5000, 0.5000, 0.1505], [0.0000, 0.5000, 0.3019], [0.5000, 0.0000, 0.8019]],
  "volume_a3_per_atom": 29.1,
  "dos_at_fermi_per_ev_fu": 1.2,
  "magmom_total_mub_per_fu": 0.00
}

---

Arrangement S

{
  "formula": "KTl2Re",
  "functional": "PBE",
  "state": "relaxed",
  "lattice_angstrom": [[3.0534, 0.0000, 0.0000], [0.0000, 4.6895, 0.0000], [0.0000, 0.0000, 8.2254]],
  "species": ["K", "Tl", "Tl", "Re"],
  "fractional_positions": [[0.0000, 0.0000, 0.0000], [0.5000, 0.0000, 0.6171], [0.5000, 0.5000, 0.3020], [0.0000, 0.5000, 0.6019]],
  "volume_a3_per_atom": 29.4,
  "dos_at_fermi_per_ev_fu": 2.6,
  "magmom_total_mub_per_fu": 0.00
}

---

Stability summary - winner: arrangement R; margin: 0.039 eV/atom.

---

Arrangement P

{
  "formula": "KTlRe3",
  "functional": "PBE",
  "state": "relaxed",
  "lattice_angstrom": [[4.6474, 0.0000, 0.0000], [0.0000, 4.6474, 0.0000], [0.0000, 0.0000, 4.6474]],
  "species": ["K", "Tl", "Re", "Re", "Re"],
  "fractional_positions": [[0.0000, 0.0000, 0.0000], [0.5000, 0.5000, 0.5000], [0.0000, 0.0000, 0.5000], [0.0000, 0.5000, 0.0000], [0.5000, 0.0000, 0.0000]],
  "volume_a3_per_atom": 20.1,
  "dos_at_fermi_per_ev_fu": 5.6,
  "magmom_total_mub_per_fu": 2.49
}

---

Arrangement Q

{
  "formula": "KTlRe3",
  "functional": "PBE",
  "state": "relaxed",
  "lattice_angstrom": [[5.1403, 0.0000, 0.0000], [0.0000, 5.1403, 0.0000], [0.0000, 0.0000, 5.1403]],
  "species": ["K", "Tl", "Re", "Re", "Re"],
  "fractional_positions": [[0.0000, 0.0000, 0.0000], [0.5000, 0.5000, 0.5000], [0.0000, 0.5000, 0.5000], [0.5000, 0.0000, 0.5000], [0.5000, 0.5000, 0.0000]],
  "volume_a3_per_atom": 27.2,
  "dos_at_fermi_per_ev_fu": 8.7,
  "magmom_total_mub_per_fu": 4.95
}

---

Stability summary - winner: arrangement Q; margin: 0.608 eV/atom.

---

Arrangement P

{
  "formula": "KV3Re",
  "functional": "PBE",
  "state": "relaxed",
  "lattice_angstrom": [[4.8732, 0.0000, 0.0000], [0.0000, 4.8732, 0.0000], [0.0000, 0.0000, 4.8732]],
  "species": ["K", "V", "V", "V", "Re"],
  "fractional_positions": [[0.0000, 0.0000, 0.0000], [0.0000, 0.5000, 0.5000], [0.5000, 0.0000, 0.5000], [0.5000, 0.5000, 0.0000], [0.5000, 0.5000, 0.5000]],
  "volume_a3_per_atom": 23.1,
  "dos_at_fermi_per_ev_fu": 11.7,
  "magmom_total_mub_per_fu": 6.04
}

---

Arrangement Q

{
  "formula": "KV3Re",
  "functional": "PBE",
  "state": "relaxed",
  "lattice_angstrom": [[4.2313, 0.0000, 0.0000], [0.0000, 4.2313, 0.0000], [0.0000, 0.0000, 4.2313]],
  "species": ["K", "V", "V", "V", "Re"],
  "fractional_positions": [[0.0000, 0.0000, 0.0000], [0.0000, 0.0000, 0.5000], [0.0000, 0.5000, 0.0000], [0.5000, 0.0000, 0.0000], [0.5000, 0.5000, 0.5000]],
  "volume_a3_per_atom": 15.2,
  "dos_at_fermi_per_ev_fu": 7.0,
  "magmom_total_mub_per_fu": 0.00
}

---

Stability summary - winner: arrangement P; margin: 1.317 eV/atom.